Entry 1:
Y2AsPd: relaxed, PBE.

Cell lengths 7.4601, 7.4601, 6.4526 Å; angles 54.69, 54.69, 90.00 degrees
Last column: nearest neighbours and their distance in Å.
Fractional coordinates of all 8 atoms:
As 0.2500 0.7500 0.5000  4 Y 2.80
As 0.5000 0.5000 0.0000  4 Y 2.80
Y 0.6265 0.1250 0.2500  2 Pd 2.79, 2 As 2.80
Y 0.3750 0.3735 0.7500  2 Pd 2.79, 2 As 2.80
Y 0.1235 0.6250 0.2500  2 Pd 2.79, 2 As 2.80
Y 0.8750 0.8765 0.7500  2 Pd 2.79, 2 As 2.80
Pd 0.0000 0.0000 0.0000  4 Y 2.79
Pd 0.7500 0.2500 0.5000  4 Y 2.79

Properties
Volume   25.9 Å³ per atom
Magnetization   0.00 μB per formula unit
SG   I-42d (122)
ΔH_f (0 K)   -0.725 eV per atom


Entry 2:
YAsPd2: relaxed, PBE.

Cell lengths 4.1896, 4.1896, 9.6474 Å; angles 77.46, 77.46, 90.00 degrees
Last column: nearest neighbours and their distance in Å.
Fractional coordinates of all 8 atoms:
Y 0.7500 0.2500 0.5000  4 Pd 2.79, 4 As 2.96
Y 0.0000 0.0000 0.0000  4 Pd 2.79, 4 As 2.96
As 0.5000 0.5000 0.0000  4 Pd 2.68, 4 Y 2.96
As 0.2500 0.7500 0.5000  4 Pd 2.68, 4 Y 2.96
Pd 0.1613 0.6250 0.2500  2 As 2.68, 2 Pd 2.76, 2 Y 2.79
Pd 0.8750 0.8387 0.7500  2 As 2.68, 2 Pd 2.76, 2 Y 2.79
Pd 0.5887 0.1250 0.2500  2 As 2.68, 2 Pd 2.76, 2 Y 2.79
Pd 0.3750 0.4113 0.7500  2 As 2.68, 2 Pd 2.76, 2 Y 2.79

Properties
Volume   20.1 Å³ per atom
Magnetization   0.00 μB per formula unit
SG   I-42d (122)
ΔH_f (0 K)   -0.648 eV per atom


Entry 3:
YbAsPd: relaxed, PBE.

Cell lengths 6.9654, 6.9654, 4.1685 Å; angles 90.00, 90.00, 120.00 degrees
Last column: nearest neighbours and their distance in Å.
Fractional coordinates of all 9 atoms:
Pd 0.2443 0.0000 0.0000  4 As 2.69, 2 Pd 2.95
Pd 0.7557 0.7557 0.0000  4 As 2.69, 2 Pd 2.95
Pd 0.0000 0.2443 0.0000  4 As 2.69, 2 Pd 2.95
Yb 0.0000 0.5836 0.5000  5 As 2.90-2.95, 2 Pd 3.15
Yb 0.4164 0.4164 0.5000  5 As 2.90-2.95, 2 Pd 3.15
Yb 0.5836 0.0000 0.5000  5 As 2.90-2.95, 2 Pd 3.15
As 0.0000 0.0000 0.5000  6 Pd 2.69, 3 Yb 2.90
As 0.6667 0.3333 0.0000  3 Pd 2.69, 6 Yb 2.95
As 0.3333 0.6667 0.0000  3 Pd 2.69, 6 Yb 2.95

Properties
Volume   19.5 Å³ per atom
Magnetization   0.25 μB per formula unit
SG   P-62m (189)
ΔH_f (0 K)   -1.029 eV per atom


Entry 4:
ZnAsPd3: relaxed, PBE.

Cell lengths 4.6336, 4.6336, 4.6336 Å; angles 90.00, 90.00, 90.00 degrees
Last column: nearest neighbours and their distance in Å.
Fractional coordinates of all 5 atoms:
Pd 0.0000 0.0000 0.5000  2 As 2.32
Pd 0.5000 0.0000 0.0000  2 As 2.32
Pd 0.0000 0.5000 0.0000  2 As 2.32
Zn 0.5000 0.5000 0.5000  12 Pd 3.28
As 0.0000 0.0000 0.0000  6 Pd 2.32

Properties
Volume   19.9 Å³ per atom
Magnetization   0.00 μB per formula unit
SG   Pm-3m (221)
ΔH_f (0 K)   0.137 eV per atom
E above lowest polymorph   0.5388 eV per atom


Entry 5:
ZnAsPd2: relaxed, PBE.

Cell lengths 6.9680, 6.9680, 5.6539 Å; angles 51.96, 51.96, 90.00 degrees
Last column: nearest neighbours and their distance in Å.
Fractional coordinates of all 8 atoms:
Zn 0.5000 0.5000 0.0000  4 Pd 2.57, 2 As 2.77
Zn 0.2500 0.7500 0.5000  4 Pd 2.57, 2 As 2.77
Pd 0.6279 0.1250 0.2500  2 As 2.55, 2 Zn 2.57, 2 Pd 2.77
Pd 0.3750 0.3721 0.7500  2 As 2.55, 2 Zn 2.57, 2 Pd 2.77
Pd 0.8750 0.8779 0.7500  2 As 2.55, 2 Zn 2.57, 2 Pd 2.77
Pd 0.1221 0.6250 0.2500  2 As 2.55, 2 Zn 2.57, 2 Pd 2.77
As 0.0000 0.0000 0.0000  4 Pd 2.55, 2 Zn 2.77
As 0.7500 0.2500 0.5000  4 Pd 2.55, 2 Zn 2.77

Properties
Volume   16.8 Å³ per atom
Magnetization   0.00 μB per formula unit
SG   I-42d (122)
ΔH_f (0 K)   -0.127 eV per atom
E above lowest polymorph   0.2608 eV per atom


Entry 6:
Zn2AsPd: relaxed, PBE.

Cell lengths 3.8702, 3.8702, 9.4951 Å; angles 78.24, 78.24, 90.00 degrees
Last column: nearest neighbours and their distance in Å.
Fractional coordinates of all 8 atoms:
As 0.2500 0.7500 0.5000  4 Zn 2.67, 4 Pd 2.74
As 0.5000 0.5000 0.0000  4 Zn 2.67, 4 Pd 2.74
Pd 0.7500 0.2500 0.5000  4 Zn 2.63, 4 As 2.74
Pd 0.0000 0.0000 0.0000  4 Zn 2.63, 4 As 2.74
Zn 0.6399 0.1250 0.2500  2 Pd 2.63, 4 Zn 2.66-2.82, 2 As 2.67
Zn 0.3750 0.3601 0.7500  2 Pd 2.63, 4 Zn 2.66-2.82, 2 As 2.67
Zn 0.8750 0.8899 0.7500  2 Pd 2.63, 4 Zn 2.66-2.82, 2 As 2.67
Zn 0.1101 0.6250 0.2500  2 Pd 2.63, 4 Zn 2.66-2.82, 2 As 2.67

Properties
Volume   17.0 Å³ per atom
Magnetization   0.00 μB per formula unit
SG   I-42d (122)
ΔH_f (0 K)   -0.079 eV per atom


Entry 7:
ZnAsPd: relaxed, PBE.

Cell lengths 3.0558, 3.0266, 12.3807 Å; angles 90.00, 90.00, 120.32 degrees
Last column: nearest neighbours and their distance in Å.
Fractional coordinates of all 6 atoms:
Pd 0.4400 0.8799 0.5000  6 Zn 2.61
Pd 0.4483 0.8966 0.0000  6 As 2.68
Zn 0.7756 0.5511 0.3439  3 Pd 2.61, 3 As 2.83-2.85
Zn 0.7756 0.5511 0.6561  3 Pd 2.61, 3 As 2.83-2.85
As 0.1136 0.2272 0.8363  3 Pd 2.68, 3 Zn 2.83-2.85
As 0.1136 0.2272 0.1637  3 Pd 2.68, 3 Zn 2.83-2.85

Properties
Volume   16.5 Å³ per atom
Magnetization   0.00 μB per formula unit
SG   Amm2 (38)
ΔH_f (0 K)   -0.147 eV per atom


Entry 8:
ZnAs2Pd2: relaxed, PBE.

Cell lengths 7.4554, 7.4554, 3.1421 Å; angles 90.00, 90.00, 90.00 degrees
Last column: nearest neighbours and their distance in Å.
Fractional coordinates of all 10 atoms:
Pd 0.6337 0.8663 0.5000  6 As 2.65-2.73, 1 Pd 2.82
Pd 0.8663 0.3663 0.5000  6 As 2.65-2.73, 1 Pd 2.82
Pd 0.3663 0.1337 0.5000  6 As 2.65-2.73, 1 Pd 2.82
Pd 0.1337 0.6337 0.5000  6 As 2.65-2.73, 1 Pd 2.82
As 0.1637 0.3363 0.0000  6 Pd 2.65-2.73, 2 Zn 2.79
As 0.8363 0.6637 0.0000  6 Pd 2.65-2.73, 2 Zn 2.79
As 0.3363 0.8363 0.0000  6 Pd 2.65-2.73, 2 Zn 2.79
As 0.6637 0.1637 0.0000  6 Pd 2.65-2.73, 2 Zn 2.79
Zn 0.0000 0.0000 0.0000  4 As 2.79
Zn 0.5000 0.5000 0.0000  4 As 2.79

Properties
Volume   17.5 Å³ per atom
Magnetization   0.00 μB per formula unit
SG   P4/mbm (127)
ΔH_f (0 K)   -0.071 eV per atom
E above lowest polymorph   0.0673 eV per atom